Entry 1:
Material: LiTlSiF6
Method: DFT, PBE-GGA
State: optimized geometry

Cell lengths 5.1423, 5.1423, 6.0531 Å; angles 90.00, 90.00, 120.00 degrees
Last column: nearest neighbours and their distance in Å.
Space group P312 (No. 149)
Asymmetric unit:
Li: 0.0000 0.0000 0.0000 [1 per cell]  6 F 2.07
Tl: 0.6667 0.3333 0.5000 [1 per cell]  6 F 2.82
Si: 0.3333 0.6667 0.0000 [1 per cell]  6 F 1.72
F: 0.0692 0.3837 0.1632 [6 per cell]  1 Si 1.72

## Properties
- Fermi-level density of states: 0.00 states/eV/atom
- Total magnetization: 0.00 μB/cell
- Energy: -46.938 eV per cell
- ΔE_f (raw): -2509 kJ/mol of formula units
- V: 138.65 Å³ per cell

***

Entry 2:
Material: Li2ZnSiF
Method: DFT, PBE-GGA
State: optimized geometry

Cell lengths 5.1522, 5.1522, 3.7868 Å; angles 90.00, 90.00, 90.00 degrees
Last column: nearest neighbours and their distance in Å.
Space group P4/mmm (No. 123)
Asymmetric unit:
Li: 0.0000 0.5000 0.0000 [2 per cell]  2 Zn 2.58
Zn: 0.0000 0.0000 0.0000 [1 per cell]  2 F 1.89
Si: 0.5000 0.5000 0.5000 [1 per cell]  8 Li 3.20
F: 0.0000 0.0000 0.5000 [1 per cell]  2 Zn 1.89

## Properties
- Fermi-level density of states: 0.50 states/eV/atom
- Total magnetization: 0.00 μB/cell
- Energy: -12.626 eV per cell
- ΔE_f (raw): -22 kJ/mol of formula units
- V: 100.52 Å³ per cell